DFT (PBE) results for a geometry-optimized TbEuTmTl structure.

Summary:
magnetization = 7.579 μB/f.u.
Fermi-level density of states = 1.474 states/eV per atom

Structure (CIF):
```
data_TbEuTmTl
_cell_length_a 7.787
_cell_length_b 7.787
_cell_length_c 7.787
_cell_angle_alpha 90.00
_cell_angle_beta 90.00
_cell_angle_gamma 90.00
_space_group_name_H-M_alt 'F -4 3 m'
_space_group_IT_number 216
_space_group_name_Hall 'F -4 2 3'
loop_
_atom_site_label
_atom_site_fract_x
_atom_site_fract_y
_atom_site_fract_z
Tb1 0.000 0.000 0.000
Eu1 0.250 0.250 0.250
Tm1 0.000 0.000 0.500
Tl1 0.250 0.250 0.750
```

---

DFT (PBE) results for a geometry-optimized TbEuYTl structure.

Summary:
magnetization = 7.714 μB/f.u.
Fermi-level density of states = 1.626 states/eV per atom

Structure (CIF):
```
data_TbEuYTl
_cell_length_a 7.832
_cell_length_b 7.832
_cell_length_c 7.832
_cell_angle_alpha 90.00
_cell_angle_beta 90.00
_cell_angle_gamma 90.00
_space_group_name_H-M_alt 'F -4 3 m'
_space_group_IT_number 216
_space_group_name_Hall 'F -4 2 3'
loop_
_atom_site_label
_atom_site_fract_x
_atom_site_fract_y
_atom_site_fract_z
Tb1 0.000 0.000 0.000
Eu1 0.250 0.250 0.250
Y1 0.000 0.000 0.500
Tl1 0.250 0.250 0.750
```

---

DFT (PBE) results for a geometry-optimized TbEuTlZn structure.

Summary:
magnetization = 7.296 μB/f.u.
Fermi-level density of states = 1.685 states/eV per atom

Structure (CIF):
```
data_TbEuTlZn
_cell_length_a 7.580
_cell_length_b 7.580
_cell_length_c 7.580
_cell_angle_alpha 90.00
_cell_angle_beta 90.00
_cell_angle_gamma 90.00
_space_group_name_H-M_alt 'F -4 3 m'
_space_group_IT_number 216
_space_group_name_Hall 'F -4 2 3'
loop_
_atom_site_label
_atom_site_fract_x
_atom_site_fract_y
_atom_site_fract_z
Tb1 0.000 0.000 0.000
Eu1 0.000 0.000 0.500
Tl1 0.250 0.250 0.250
Zn1 0.250 0.250 0.750
```

---

DFT (PBE) results for a geometry-optimized Tb12Eu3Tm5 structure.

Summary:
magnetization = 23.568 μB/f.u.
Fermi-level density of states = 1.658 states/eV per atom

Structure (CIF):
```
data_Tb12Eu3Tm5
_cell_length_a 18.991
_cell_length_b 18.991
_cell_length_c 18.991
_cell_angle_alpha 90.00
_cell_angle_beta 90.00
_cell_angle_gamma 90.00
_space_group_name_H-M_alt 'I a -3 d'
_space_group_IT_number 230
_space_group_name_Hall '-I 4bd 2c 3'
loop_
_atom_site_label
_atom_site_fract_x
_atom_site_fract_y
_atom_site_fract_z
Tb1 0.007 0.079 0.645
Eu1 0.000 0.250 0.125
Tm1 0.000 0.000 0.000
Tm2 0.000 0.250 0.375
```

---

DFT (PBE) results for a geometry-optimized TbEuTm2 structure.

Summary:
magnetization = 7.644 μB/f.u.
E above lowest polymorph = 0.000 eV per atom
Fermi-level density of states = 1.390 states/eV per atom

Structure (CIF):
```
data_TbEuTm2
_cell_length_a 3.583
_cell_length_b 3.583
_cell_length_c 10.211
_cell_angle_alpha 90.00
_cell_angle_beta 90.00
_cell_angle_gamma 90.00
_space_group_name_H-M_alt 'P 4/m m m'
_space_group_IT_number 123
_space_group_name_Hall '-P 4 2'
loop_
_atom_site_label
_atom_site_fract_x
_atom_site_fract_y
_atom_site_fract_z
Tb1 0.000 0.000 0.000
Eu1 0.000 0.000 0.500
Tm1 0.500 0.500 0.234
```

---

DFT (PBE) results for a geometry-optimized TbEu2Tm structure.

Summary:
magnetization = 15.264 μB/f.u.
E above lowest polymorph = 0.000 eV per atom
Fermi-level density of states = 1.229 states/eV per atom

Structure (CIF):
```
data_TbEu2Tm
_cell_length_a 3.634
_cell_length_b 3.634
_cell_length_c 10.551
_cell_angle_alpha 90.00
_cell_angle_beta 90.00
_cell_angle_gamma 90.00
_space_group_name_H-M_alt 'P 4/m m m'
_space_group_IT_number 123
_space_group_name_Hall '-P 4 2'
loop_
_atom_site_label
_atom_site_fract_x
_atom_site_fract_y
_atom_site_fract_z
Tb1 0.000 0.000 0.000
Eu1 0.500 0.500 0.253
Tm1 0.000 0.000 0.500
```

---

no.,DFT total energy (eV/atom),energy of formation from the pure elements (eV per atom)
1,-5.44,-0.008
2,-5.97,-0.039
3,-4.95,-0.312
4,-4.37,1.067
5,-5.89,0.070
6,-7.29,0.126